(1)
Here is a relaxed KBaInP2 crystal from Alexandria. Energies are from GGA-PBE.

Computed properties:
Magnetization ... 0.0 μB/cell
Total energy ... -38.08 eV/cell
SG ... C2/m (12)

a b c (Å): 9.259 9.259 9.129
angles (deg): 97.68 97.68 28.28
Fractional positions:
K1 0.201 0.201 0.122
K2 0.799 0.799 0.878
Ba1 0.091 0.091 0.683
Ba2 0.909 0.909 0.317
In1 0.455 0.455 0.828
In2 0.545 0.545 0.172
P1 0.080 0.080 0.327
P2 0.394 0.394 0.080
P3 0.606 0.606 0.920
P4 0.920 0.920 0.673


(2)
Here is a relaxed KBaInPb crystal from Alexandria. Energies are from GGA-PBE.

Computed properties:
Magnetization ... 0.0 μB/cell
DOS(E_F) ... 1.41 states/eV/cell
Total energy ... -10.45 eV/cell
SG ... F-43m (216)

a b c (Å): 5.997 5.997 5.997
angles (deg): 60.00 60.00 60.00
Fractional positions:
K1 0.000 0.000 0.000
Ba1 0.500 0.500 0.500
In1 0.250 0.250 0.250
Pb1 0.750 0.750 0.750


(3)
Here is a relaxed K2RbBaIn crystal from Alexandria. Energies are from GGA-PBE.

Computed properties:
Magnetization ... 0.0 μB/cell
DOS(E_F) ... 6.46 states/eV/cell
Total energy ... -7.60 eV/cell
SG ... P4/mmm (123)

a b c (Å): 7.091 7.091 6.780
angles (deg): 90.00 90.00 90.00
Fractional positions:
K1 0.000 0.500 0.000
K2 0.500 0.000 0.000
Rb1 0.000 0.000 0.500
Ba1 0.500 0.500 0.500
In1 0.500 0.500 0.000


(4)
Here is a relaxed KBaIn2Rh crystal from Alexandria. Energies are from GGA-PBE.

Computed properties:
Magnetization ... 0.0 μB/cell
DOS(E_F) ... 3.30 states/eV/cell
Total energy ... -17.01 eV/cell
SG ... P4/mmm (123)

a b c (Å): 5.356 5.356 5.845
angles (deg): 90.00 90.00 90.00
Fractional positions:
K1 0.000 0.000 0.000
Ba1 0.500 0.500 0.000
In1 0.000 0.500 0.500
In2 0.500 0.000 0.500
Rh1 0.500 0.500 0.500